#1
An optimized crystal structure of KIr2Br, computed with PBE.

a = 6.7781 Å, b = 3.8009 Å, c = 3.8009 Å
α = 90.00°, β = 90.00°, γ = 90.00°
Last column: nearest neighbours and their distance in Å.
Fractional positions:
Br1 0.5000 0.0000 0.5000  4 K 2.69
Ir1 0.0000 0.0000 0.0000  4 Ir 2.69
Ir2 0.0000 0.5000 0.5000  4 Ir 2.69
K1 0.5000 0.5000 0.0000  4 Br 2.69

Computed properties:
magnetic moment: 0.9 μB per formula unit



#2
An optimized crystal structure of KIr2Br, computed with PBE.

a = 7.1138 Å, b = 7.1138 Å, c = 2.5915 Å
α = 90.00°, β = 90.00°, γ = 135.21°
Last column: nearest neighbours and their distance in Å.
Fractional positions:
Br1 0.0000 0.5000 0.5000  2 Br 2.59, 2 K 2.71
Ir1 0.0000 0.0000 0.0000  4 Ir 2.59-2.71
Ir2 0.5000 0.5000 0.0000  4 Ir 2.59-2.71
K1 0.5000 0.0000 0.5000  2 K 2.59, 2 Br 2.71

Computed properties:
magnetic moment: 0.0 μB per formula unit



#3
An optimized crystal structure of KIr2Br, computed with PBE.

a = 2.7789 Å, b = 4.0005 Å, c = 9.1018 Å
α = 90.00°, β = 90.00°, γ = 90.00°
Last column: nearest neighbours and their distance in Å.
Fractional positions:
Br1 0.5000 0.5000 0.7160  2 Br 2.78
Ir1 0.0000 0.0000 0.1112  6 Ir 2.55-2.78
Ir2 0.5000 0.5000 0.1942  6 Ir 2.55-2.78
K1 0.0000 0.0000 0.4785  2 K 2.78

Computed properties:
magnetic moment: 0.0 μB per formula unit



Stability summary - winner: #3; margin: 68.3 kJ/mol of atoms.



#1
An optimized crystal structure of KIr2Br, computed with PBE.

a = 4.3754 Å, b = 4.3754 Å, c = 8.3018 Å
α = 101.32°, β = 101.32°, γ = 39.41°
Last column: nearest neighbours and their distance in Å.
Fractional positions:
Br1 0.8669 0.8669 0.7591  1 Ir 2.60
Ir1 0.9041 0.9041 0.0779  3 Ir 2.38-2.52, 1 Br 2.60
Ir2 0.1963 0.1963 0.1772  3 Ir 2.38-2.52
K1 0.5327 0.5327 0.4857  2 K 2.95, 3 Br 3.18-3.24

Computed properties:
magnetic moment: 0.0 μB per formula unit



#2
An optimized crystal structure of KIr2Br, computed with PBE.

a = 4.8388 Å, b = 4.8388 Å, c = 4.8388 Å
α = 60.00°, β = 60.00°, γ = 60.00°
Last column: nearest neighbours and their distance in Å.
Fractional positions:
Br1 0.5000 0.5000 0.5000  4 K 2.96, 4 Ir 2.96
Ir1 0.0000 0.0000 0.0000  4 K 2.96, 4 Ir 2.96
Ir2 0.2500 0.2500 0.2500  4 Br 2.96, 4 Ir 2.96
K1 0.7500 0.7500 0.7500  4 Br 2.96, 4 Ir 2.96

Computed properties:
magnetic moment: 2.6 μB per formula unit



#3
An optimized crystal structure of KIr2Br, computed with PBE.

a = 6.8501 Å, b = 2.6749 Å, c = 4.8954 Å
α = 89.88°, β = 90.00°, γ = 90.00°
Last column: nearest neighbours and their distance in Å.
Fractional positions:
Br1 0.5000 0.7500 0.7500  2 Br 2.67, 4 K 2.79
Ir1 0.0000 0.9994 0.0118  6 Ir 2.67-2.89
Ir2 0.0000 0.5006 0.4882  6 Ir 2.67-2.89
K1 0.5000 0.2500 0.2500  2 K 2.67, 4 Br 2.79

Computed properties:
magnetic moment: 0.0 μB per formula unit



Stability summary - winner: #1; margin: 42.1 kJ/mol of atoms.



#1
An optimized crystal structure of KIr2Br, computed with PBE.

a = 7.2664 Å, b = 7.2664 Å, c = 7.2664 Å
α = 149.70°, β = 149.70°, γ = 43.39°
Last column: nearest neighbours and their distance in Å.
Fractional positions:
Br1 0.2500 0.7500 0.5000  4 K 2.69
Ir1 0.0000 0.0000 0.0000  4 Ir 2.69
Ir2 0.5000 0.5000 0.0000  4 Ir 2.69
K1 0.7500 0.2500 0.5000  4 Br 2.69

Computed properties:
magnetic moment: 0.4 μB per formula unit



#2
An optimized crystal structure of KIr2Br, computed with PBE.

a = 10.3004 Å, b = 10.3004 Å, c = 10.3004 Å
α = 16.28°, β = 16.28°, γ = 16.28°
Last column: nearest neighbours and their distance in Å.
Fractional positions:
Br1 0.7500 0.7500 0.7500  6 Ir 2.81, 6 Br 2.92
Ir1 0.0096 0.0096 0.0096  3 Br 2.81, 6 Ir 2.92
Ir2 0.4904 0.4904 0.4904  3 Br 2.81, 6 Ir 2.92
K1 0.2500 0.2500 0.2500  6 K 2.92

Computed properties:
magnetic moment: 0.0 μB per formula unit



#3
An optimized crystal structure of KIr2Br, computed with PBE.

a = 5.1796 Å, b = 5.1796 Å, c = 8.9974 Å
α = 73.27°, β = 73.27°, γ = 90.00°
Last column: nearest neighbours and their distance in Å.
Fractional positions:
K1 0.5000 0.5000 0.0000  8 Ir 3.55, 4 Br 3.66
K2 0.2500 0.7500 0.5000  8 Ir 3.55, 4 Br 3.66
Ir1 0.8751 0.1250 0.2500  2 Br 2.43, 2 Ir 2.59
Ir2 0.8749 0.6250 0.2500  2 Br 2.43, 2 Ir 2.59
Ir3 0.3750 0.1249 0.7500  2 Br 2.43, 2 Ir 2.59
Ir4 0.8750 0.1251 0.7500  2 Br 2.43, 2 Ir 2.59
Br1 0.0000 0.0000 0.0000  4 Ir 2.43
Br2 0.7500 0.2500 0.5000  4 Ir 2.43

Computed properties:
magnetic moment: 0.0 μB per formula unit



Stability summary - winner: #3; margin: 14.5 kJ/mol of atoms.



#1
An optimized crystal structure of KIr2Br, computed with PBE.

a = 6.2451 Å, b = 6.2451 Å, c = 4.8098 Å
α = 67.36°, β = 67.36°, γ = 26.53°
Last column: nearest neighbours and their distance in Å.
Fractional positions:
Br1 0.7500 0.7500 0.7500  4 K 2.80, 2 Br 2.87, 4 Ir 2.90
Ir1 0.0244 0.0244 0.9762  6 Ir 2.85-2.87, 2 Br 2.90
Ir2 0.4756 0.4756 0.5238  6 Ir 2.85-2.87, 2 Br 2.90
K1 0.2500 0.2500 0.2500  4 Br 2.80, 2 K 2.87

Computed properties:
magnetic moment: 0.0 μB per formula unit



#2
An optimized crystal structure of KIr2Br, computed with PBE.

a = 3.9982 Å, b = 2.7809 Å, c = 9.0929 Å
α = 81.11°, β = 90.00°, γ = 90.00°
Last column: nearest neighbours and their distance in Å.
Fractional positions:
Br1 0.5000 0.9502 0.7205  2 Br 2.78
Ir1 0.0000 0.7604 0.1076  6 Ir 2.55-2.78
Ir2 0.5000 0.2177 0.1920  6 Ir 2.55-2.78
K1 0.0000 0.5718 0.4799  2 K 2.78

Computed properties:
magnetic moment: 0.0 μB per formula unit



Stability summary - winner: #2; margin: 47.7 kJ/mol of atoms.